(1)
Cu15Te: optimized geometry, PBE.

The structure in extended XYZ format:
```
32
Lattice="5.079 0.000 0.000 0.000 3.627 0.000 -0.074 0.000 33.875" Properties=species:S:1:pos:R:3 pbc="T T T"
Cu 0.620 0.907 7.506
Cu 1.899 2.720 8.723
Cu 4.412 2.720 8.726
Cu 3.153 0.907 10.002
Cu 0.613 0.907 10.021
Cu 1.878 2.720 11.267
Cu 4.422 2.720 11.271
Cu 3.145 0.907 12.518
Cu 0.609 0.907 12.534
Cu 4.416 2.720 13.786
Cu 1.872 2.720 13.788
Cu 3.143 0.907 15.032
Cu 0.600 0.907 15.045
Cu 4.407 2.720 16.309
Cu 1.870 2.720 16.311
Cu 3.135 0.907 17.565
Cu 0.597 0.907 17.567
Cu 4.404 2.720 18.830
Cu 1.861 2.720 18.843
Cu 3.132 0.907 20.087
Cu 0.589 0.907 20.090
Cu 4.396 2.720 21.342
Cu 1.859 2.720 21.357
Cu 0.583 0.907 22.605
Cu 3.127 0.907 22.609
Cu 4.391 2.720 23.855
Cu 1.852 2.720 23.874
Cu 0.593 0.907 25.150
Cu 3.105 0.907 25.153
Cu 4.385 2.720 26.370
Te 3.160 0.907 7.011
Te 1.844 2.720 26.864
```

Results
Symmetry: P2_1/m, No. 11
Crystal system: monoclinic



(2)
HfInCuRe: optimized geometry, PBE.

The structure in extended XYZ format:
```
4
Lattice="0.000 3.258 3.258 3.258 0.000 3.258 3.258 3.258 0.000" Properties=species:S:1:pos:R:3 pbc="T T T"
Cu 4.886 4.886 4.886
Hf 3.258 3.258 3.258
In 0.000 0.000 0.000
Re 1.629 1.629 1.629
```

Results
Symmetry: F-43m, No. 216
Crystal system: cubic



Number 1: E -3.641 eV per atom. Number 2: E -7.076 eV per atom.